1.
This record from the Alexandria database describes LaIrOs2 after structural relaxation. The functional is PBE.

**Magnetization**: 0.0525 μB per atom
**Symmetry**: R3m, No. 160
**Volume**: 69.05 Å³/f.u.
**Distance to the lowest polymorph of the same formula**: 335 meV per atom

a b c (Å): 10.0062 10.0062 10.0062
angles (deg): 16.33 16.33 16.33
Last column: magnetic moment on the atom in μB.
Element x y z (fractional)
Ir 0.5104 0.5104 0.5104  0.00
La 0.7507 0.7507 0.7507  -0.17
Os 0.9879 0.9879 0.9879  0.00
Os 0.2509 0.2509 0.2509  0.00

=====

2.
This record from the Alexandria database describes Y6Zn2Cd after structural relaxation. The functional is PBE.

**Magnetization**: 0.0000 μB per atom
**Symmetry**: Immm, No. 71
**Volume**: 247.04 Å³/f.u.
**E**: -44.25 eV/f.u.

a b c (Å): 8.6285 8.6285 8.6285
angles (deg): 107.68 111.04 109.71
Element x y z (fractional)
Y 0.5456 0.7273 0.8183
Y 0.4544 0.2727 0.1817
Y 0.0910 0.2727 0.8183
Y 0.9090 0.7273 0.1817
Y 0.7966 0.7573 0.5539
Y 0.2034 0.2427 0.4461
Y 0.2034 0.7573 0.9608
Y 0.7966 0.2427 0.0392
Y 0.7137 0.3946 0.6809
Y 0.2863 0.6054 0.3191
Y 0.2863 0.9672 0.6809
Y 0.7137 0.0328 0.3191
Zn 0.5000 0.3756 0.8756
Zn 0.5000 0.6244 0.1244
Zn 0.6362 0.0000 0.6362
Zn 0.3638 0.0000 0.3638
Cd 0.0000 0.5000 0.5000
Cd 0.0000 0.0000 0.0000

=====

3.
This record from the Alexandria database describes RbNa16Tl12 after structural relaxation. The functional is PBE.

**Magnetization**: 0.0000 μB per atom
**Symmetry**: Cm, No. 8
**Volume**: 893.80 Å³/f.u.
**E**: -53.02 eV/f.u.

a b c (Å): 10.4664 10.4664 10.3752
angles (deg): 108.65 108.65 109.32
Element x y z (fractional)
Rb 0.5799 0.5799 0.2717
Na 0.3002 0.3002 0.3107
Na 0.9911 0.9911 0.9852
Na 0.0023 0.0023 0.6581
Na 0.3104 0.3104 0.7277
Na 0.6948 0.4049 0.9890
Na 0.5819 0.2829 0.5824
Na 0.0084 0.6935 0.4172
Na 0.0103 0.6683 0.0094
Na 0.7257 0.3068 0.3137
Na 0.4187 0.0010 0.6925
Na 0.0010 0.4187 0.6925
Na 0.3068 0.7257 0.3137
Na 0.6683 0.0103 0.0094
Na 0.6935 0.0084 0.4172
Na 0.2829 0.5819 0.5824
Na 0.4049 0.6948 0.9890
Tl 0.8284 0.8284 0.1863
Tl 0.6163 0.6163 0.8173
Tl 0.3732 0.1745 0.9900
Tl 0.8223 0.6267 0.6417
Tl 0.1956 0.0037 0.3913
Tl 0.3818 0.9984 0.1916
Tl 0.1905 0.8075 0.8027
Tl 0.8075 0.1905 0.8027
Tl 0.9984 0.3818 0.1916
Tl 0.0037 0.1956 0.3913
Tl 0.6267 0.8223 0.6417
Tl 0.1745 0.3732 0.9900

=====

4.
This record from the Alexandria database describes LiCeHoZn after structural relaxation. The functional is PBE.

**Magnetization**: 0.2331 μB per atom
**Symmetry**: F-43m, No. 216
**Volume**: 95.37 Å³/f.u.
**E**: -13.79 eV/f.u.

a b c (Å): 5.1284 5.1284 5.1284
angles (deg): 60.00 60.00 60.00
Last column: magnetic moment on the atom in μB.
Element x y z (fractional)
Zn 0.0000 0.0000 0.0000  0.00
Ho 0.7500 0.7500 0.7500  0.06
Ce 0.2500 0.2500 0.2500  0.71
Li 0.5000 0.5000 0.5000  0.00

=====

5.
This record from the Alexandria database describes Sm2Ag5Cl12 after structural relaxation. The functional is PBE.

**Magnetization**: 0.0000 μB per atom
**Symmetry**: C2/m, No. 12
**ΔE_f (raw)**: -1.16 eV per atom
**Volume**: 525.94 Å³/f.u.

a b c (Å): 7.7366 7.9952 10.0441
angles (deg): 102.83 90.00 118.94
Element x y z (fractional)
Sm 0.7509 0.0000 0.0000
Sm 0.2491 0.0000 0.0000
Ag 0.2825 0.5651 0.6164
Ag 0.2834 0.5667 0.3177
Ag 0.0000 0.0000 0.5000
Ag 0.7166 0.4333 0.6823
Ag 0.7175 0.4349 0.3836
Cl 0.9445 0.8890 0.1533
Cl 0.0723 0.6337 0.8301
Cl 0.5613 0.6337 0.8301
Cl 0.1122 0.7428 0.4776
Cl 0.6306 0.7428 0.4776
Cl 0.5542 0.1084 0.8443
Cl 0.4458 0.8916 0.1557
Cl 0.8878 0.2572 0.5224
Cl 0.3694 0.2572 0.5224
Cl 0.9277 0.3663 0.1699
Cl 0.4387 0.3663 0.1699
Cl 0.0555 0.1110 0.8467

=====

6.
This record from the Alexandria database describes La2ScGeP after structural relaxation. The functional is PBE.

**Magnetization**: 0.0000 μB per atom
**Symmetry**: P4/nmm, No. 129
**Volume**: 136.17 Å³/f.u.
**E**: -30.74 eV/f.u.

a b c (Å): 4.2545 4.2545 15.0459
angles (deg): 90.00 90.00 90.00
Element x y z (fractional)
La 0.0000 0.5000 0.6918
La 0.0000 0.5000 0.1014
La 0.5000 0.0000 0.8986
La 0.5000 0.0000 0.3082
Sc 0.0000 0.0000 0.5000
Sc 0.5000 0.5000 0.5000
Ge 0.5000 0.0000 0.1111
Ge 0.0000 0.5000 0.8889
P 0.5000 0.0000 0.6219
P 0.0000 0.5000 0.3781

=====

7.
This record from the Alexandria database describes VTe2Pd after structural relaxation. The functional is PBE.

**Magnetization**: 0.2991 μB per atom
**Symmetry**: I-42d, No. 122
**ΔE_f (raw)**: -0.06 eV per atom
**Volume**: 113.11 Å³/f.u.
**Distance to the lowest polymorph of the same formula**: 99 meV per atom

a b c (Å): 6.0931 6.0931 7.4627
angles (deg): 65.91 65.91 90.00
Last column: magnetic moment on the atom in μB.
Element x y z (fractional)
Te 0.6173 0.1250 0.2500  -0.14
Te 0.1327 0.6250 0.2500  -0.14
Te 0.3750 0.3827 0.7500  -0.14
Te 0.8750 0.8673 0.7500  -0.14
Pd 0.0000 0.0000 0.0000  -0.24
Pd 0.7500 0.2500 0.5000  -0.24
V 0.5000 0.5000 0.0000  1.68
V 0.2500 0.7500 0.5000  1.68

=====

8.
This record from the Alexandria database describes AcLaCd2 after structural relaxation. The functional is PBE.

**Magnetization**: 0.0029 μB per atom
**Symmetry**: Fm-3m, No. 225
**Volume**: 128.54 Å³/f.u.
**E**: -12.09 eV/f.u.

a b c (Å): 5.6650 5.6643 5.6651
angles (deg): 59.99 60.00 60.01
Element x y z (fractional)
Ac 0.2500 0.2500 0.2500
Cd 0.9997 0.0001 0.0002
Cd 0.5003 0.5000 0.5000
La 0.7501 0.7500 0.7500

=====

9.
This record from the Alexandria database describes BaCdSeF2 after structural relaxation. The functional is PBE.

**Magnetization**: 0.0000 μB per atom
**Symmetry**: I4cm, No. 108
**ΔE_f (raw)**: -2.26 eV per atom
**Volume**: 114.52 Å³/f.u.

a b c (Å): 6.5989 6.5989 7.0311
angles (deg): 117.99 117.99 90.00
Element x y z (fractional)
Ba 0.7881 0.2881 0.5761
Ba 0.2881 0.7881 0.5761
Cd 0.9996 0.9996 0.9992
Cd 0.4996 0.4996 0.9992
Se 0.7456 0.7456 0.4912
Se 0.2456 0.2456 0.4912
F 0.3059 0.8059 0.9670
F 0.8059 0.6611 0.9670
F 0.6611 0.1611 0.9670
F 0.1611 0.3059 0.9670

=====

10.
This record from the Alexandria database describes Zn2MoPb after structural relaxation. The functional is PBE.

**Magnetization**: 0.0000 μB per atom
**Symmetry**: P4/mmm, No. 123
**Volume**: 73.43 Å³/f.u.
**E**: -15.05 eV/f.u.

a b c (Å): 4.9861 4.9861 2.9537
angles (deg): 90.00 90.00 90.00
Element x y z (fractional)
Mo 0.5000 0.0000 0.5000
Pb 0.0000 0.5000 0.5000
Zn 0.0000 0.0000 0.0000
Zn 0.5000 0.5000 0.0000

=====

11.
This record from the Alexandria database describes PmSmCuIr after structural relaxation. The functional is PBE.

**Magnetization**: 0.0000 μB per atom
**Symmetry**: Amm2, No. 38
**Volume**: 92.05 Å³/f.u.
**Distance to the lowest polymorph of the same formula**: 0 meV per atom

a b c (Å): 3.9567 4.4022 5.6429
angles (deg): 90.00 110.52 90.00
Element x y z (fractional)
Pm 0.8622 0.5000 0.7245
Sm 0.1396 0.0000 0.2793
Cu 0.5733 0.5000 0.1465
Ir 0.4249 0.0000 0.8497

=====

12.
This record from the Alexandria database describes Ac2Ga2Co after structural relaxation. The functional is PBE.

**Magnetization**: 0.0000 μB per atom
**Symmetry**: I4_1/amd, No. 141
**Volume**: 144.17 Å³/f.u.
**Distance to the lowest polymorph of the same formula**: 148 meV per atom

a b c (Å): 4.4164 4.4164 15.1094
angles (deg): 98.40 98.40 90.00
Element x y z (fractional)
Ac 0.8209 0.8209 0.6418
Ac 0.5709 0.0709 0.1418
Ac 0.9291 0.4291 0.8582
Ac 0.1791 0.1791 0.3582
Ga 0.4651 0.9651 0.9303
Ga 0.7151 0.7151 0.4303
Ga 0.2849 0.2849 0.5697
Ga 0.0349 0.5349 0.0697
Co 0.5000 0.5000 0.0000
Co 0.2500 0.7500 0.5000

=====

13.
This record from the Alexandria database describes Sm2HoTi after structural relaxation. The functional is PBE.

**Magnetization**: 0.0000 μB per atom
**Symmetry**: P4/mmm, No. 123
**Volume**: 113.24 Å³/f.u.
**Distance to the lowest polymorph of the same formula**: 0 meV per atom

a b c (Å): 3.4589 3.4589 9.4653
angles (deg): 90.00 90.00 90.00
Element x y z (fractional)
Ho 0.5000 0.5000 0.5000
Sm 0.0000 0.0000 0.7773
Sm 0.0000 0.0000 0.2227
Ti 0.5000 0.5000 0.0000

=====

14.
This record from the Alexandria database describes YSc2W after structural relaxation. The functional is PBE.

**Magnetization**: 0.0006 μB per atom
**Symmetry**: Cmmm, No. 65
**Volume**: 91.80 Å³/f.u.
**Distance to the lowest polymorph of the same formula**: 20 meV per atom

a b c (Å): 3.0752 3.0752 10.1650
angles (deg): 90.00 90.00 107.25
Element x y z (fractional)
Sc 0.0000 0.0000 0.0431
Sc 0.0000 0.0000 0.4569
W 0.5000 0.5000 0.2500
Y 0.5000 0.5000 0.7500

=====

15.
This record from the Alexandria database describes Ti3AlPt4 after structural relaxation. The functional is PBE.

**Magnetization**: 0.1215 μB per atom
**Symmetry**: Pmma, No. 51
**Volume**: 123.53 Å³/f.u.
**E**: -58.93 eV/f.u.

a b c (Å): 4.8081 5.5922 9.1884
angles (deg): 90.00 90.00 90.00
Last column: magnetic moment on the atom in μB.
Element x y z (fractional)
Al 0.0000 0.5000 0.0000  0.00
Al 0.0000 0.5000 0.5000  0.00
Pt 0.5000 0.7493 0.0000  0.02
Pt 0.5000 0.7493 0.5000  0.02
Pt 0.5000 0.2507 0.0000  0.02
Pt 0.5000 0.2507 0.5000  0.02
Pt 0.1166 0.7494 0.7500  0.01
Pt 0.8834 0.7494 0.2500  0.01
Pt 0.8834 0.2506 0.2500  0.01
Pt 0.1166 0.2506 0.7500  0.01
Ti 0.0000 0.0000 0.0000  0.34
Ti 0.0000 0.0000 0.5000  0.34
Ti 0.6101 0.0000 0.7500  0.32
Ti 0.3899 0.0000 0.2500  0.32
Ti 0.6139 0.5000 0.7500  0.10
Ti 0.3861 0.5000 0.2500  0.10

=====

16.
This record from the Alexandria database describes Li2LaTc after structural relaxation. The functional is PBE.

**Magnetization**: 0.1801 μB per atom
**Symmetry**: Fm-3m, No. 225
**Volume**: 74.07 Å³/f.u.
**Distance to the lowest polymorph of the same formula**: 212 meV per atom

a b c (Å): 4.7139 4.7139 4.7139
angles (deg): 60.00 60.00 60.00
Last column: magnetic moment on the atom in μB.
Element x y z (fractional)
Li 0.2500 0.2500 0.2500  -0.04
Li 0.7500 0.7500 0.7500  -0.04
Tc 0.0000 0.0000 0.0000  1.05
La 0.5000 0.5000 0.5000  -0.14

=====

17.
This record from the Alexandria database describes Zn12GaAu6 after structural relaxation. The functional is PBE.

**Magnetization**: 0.0000 μB per atom
**Symmetry**: R-3, No. 148
**Volume**: 315.21 Å³/f.u.
**Distance to the lowest polymorph of the same formula**: 0 meV per atom

a b c (Å): 6.8130 6.8130 6.8130
angles (deg): 87.28 87.28 87.28
Element x y z (fractional)
Zn 0.5755 0.1956 0.4749
Zn 0.1956 0.4749 0.5755
Zn 0.4749 0.5755 0.1956
Zn 0.4245 0.8044 0.5251
Zn 0.8044 0.5251 0.4245
Zn 0.5251 0.4245 0.8044
Zn 0.9101 0.8596 0.6105
Zn 0.3895 0.0899 0.1404
Zn 0.1404 0.3895 0.0899
Zn 0.0899 0.1404 0.3895
Zn 0.6105 0.9101 0.8596
Zn 0.8596 0.6105 0.9101
Ga 0.0000 0.0000 0.0000
Au 0.2938 0.1251 0.7433
Au 0.8749 0.2567 0.7062
Au 0.2567 0.7062 0.8749
Au 0.7062 0.8749 0.2567
Au 0.1251 0.7433 0.2938
Au 0.7433 0.2938 0.1251

=====

18.
This record from the Alexandria database describes SrZn2Ag after structural relaxation. The functional is PBE.

**Magnetization**: 0.0000 μB per atom
**Symmetry**: C2/m, No. 12
**Volume**: 95.48 Å³/f.u.
**E**: -7.12 eV/f.u.

a b c (Å): 4.5288 4.5288 4.6554
angles (deg): 90.08 90.08 90.00
Element x y z (fractional)
Ag 0.5000 0.0000 0.5000
Sr 0.0000 0.5000 0.5000
Zn 0.0000 0.0000 0.0000
Zn 0.5000 0.5000 0.0000

=====

19.
This record from the Alexandria database describes Ca8Ga2Sb after structural relaxation. The functional is PBE.

**Magnetization**: 0.0000 μB per atom
**Symmetry**: Immm, No. 71
**ΔE_f (raw)**: -0.33 eV per atom
**Volume**: 338.58 Å³/f.u.

a b c (Å): 5.1698 8.4082 9.2209
angles (deg): 117.12 106.28 90.00
Element x y z (fractional)
Ca 0.6611 0.8760 0.3222
Ca 0.3389 0.5538 0.6778
Ca 0.1494 0.1494 0.2989
Ca 0.0000 0.3121 0.0000
Ca 0.8506 0.8506 0.7011
Ca 0.6611 0.4462 0.3222
Ca 0.3389 0.1240 0.6778
Ca 0.0000 0.6879 0.0000
Ga 0.1917 0.6917 0.3834
Ga 0.8083 0.3083 0.6166
Sb 0.5000 0.0000 0.0000

=====

20.
This record from the Alexandria database describes TmPuPSe after structural relaxation. The functional is PBE.

**Magnetization**: 1.3775 μB per atom
**Symmetry**: R3m, No. 160
**ΔE_f (raw)**: -1.57 eV per atom
**Volume**: 92.99 Å³/f.u.

a b c (Å): 4.0280 4.0280 7.0144
angles (deg): 73.31 73.31 60.00
Last column: magnetic moment on the atom in μB.
Element x y z (fractional)
Tm 0.5055 0.5055 0.4835  0.03
Pu 0.9943 0.9943 0.0170  5.26
P 0.2481 0.2481 0.2557  -0.07
Se 0.7521 0.7521 0.7438  -0.05

=====

21.
This record from the Alexandria database describes SrSbIr2 after structural relaxation. The functional is PBE.

**Magnetization**: 0.0276 μB per atom
**Symmetry**: Pm, No. 6
**ΔE_f (raw)**: -0.12 eV per atom
**Volume**: 106.06 Å³/f.u.

a b c (Å): 4.2157 5.1778 5.0663
angles (deg): 73.54 90.00 90.00
Element x y z (fractional)
Ir 0.0000 0.9856 0.1826
Ir 0.5000 0.2257 0.2000
Sb 0.0000 0.4708 0.3545
Sr 0.5000 0.8179 0.7629

=====

22.
This record from the Alexandria database describes ZnHgRu2 after structural relaxation. The functional is PBE.

**Magnetization**: 0.7117 μB per atom
**Symmetry**: Cmmm, No. 65
**Volume**: 64.33 Å³/f.u.
**Distance to the lowest polymorph of the same formula**: 355 meV per atom

a b c (Å): 4.8984 4.8984 2.8697
angles (deg): 90.00 90.00 110.89
Last column: magnetic moment on the atom in μB.
Element x y z (fractional)
Hg 0.0000 0.5000 0.5000  0.02
Ru 0.0000 0.0000 0.0000  1.37
Ru 0.5000 0.5000 0.0000  1.37
Zn 0.5000 0.0000 0.5000  -0.01

=====

23.
This record from the Alexandria database describes SmTm12Th6 after structural relaxation. The functional is PBE.

**Magnetization**: 0.0000 μB per atom
**Symmetry**: R-3m, No. 166
**Volume**: 655.27 Å³/f.u.
**E**: -92.97 eV/f.u.

a b c (Å): 9.2443 9.2443 9.2443
angles (deg): 107.15 107.15 107.15
Element x y z (fractional)
Sm 0.0000 0.0000 0.0000
Tm 0.8882 0.1118 0.5000
Tm 0.3258 0.0885 0.3258
Tm 0.3258 0.3258 0.0885
Tm 0.9115 0.6742 0.6742
Tm 0.6742 0.6742 0.9115
Tm 0.6742 0.9115 0.6742
Tm 0.5000 0.8882 0.1118
Tm 0.1118 0.5000 0.8882
Tm 0.1118 0.8882 0.5000
Tm 0.5000 0.1118 0.8882
Tm 0.8882 0.5000 0.1118
Tm 0.0885 0.3258 0.3258
Th 0.6722 0.2931 0.6722
Th 0.6722 0.6722 0.2931
Th 0.2931 0.6722 0.6722
Th 0.3278 0.3278 0.7069
Th 0.3278 0.7069 0.3278
Th 0.7069 0.3278 0.3278